Record 1
Below is Sc3PdRh after structural relaxation, with properties calculated at the PBE level.

As for the space-group type: Pmmn (59).

Cell lengths 3.6915, 6.6287, 8.4093 Å; angles 90.00, 90.00, 90.00 degrees
Closest atoms and distances in Å follow each position.
Sites, in units of the cell vectors:
Sc1 0.7500 0.7500 0.0520  2 Rh 2.57
Sc2 0.2500 0.2500 0.9480  2 Rh 2.57
Sc3 0.7500 0.9895 0.6886  3 Pd 2.69-2.75, 2 Rh 2.74
Sc4 0.7500 0.5105 0.6886  3 Pd 2.69-2.75, 2 Rh 2.74
Sc5 0.2500 0.0105 0.3114  3 Pd 2.69-2.75, 2 Rh 2.74
Sc6 0.2500 0.4895 0.3114  3 Pd 2.69-2.75, 2 Rh 2.74
Pd1 0.7500 0.7500 0.4223  6 Sc 2.69-2.75
Pd2 0.2500 0.2500 0.5777  6 Sc 2.69-2.75
Rh1 0.7500 0.2500 0.1614  6 Sc 2.57-2.74
Rh2 0.2500 0.7500 0.8386  6 Sc 2.57-2.74

Record 2
Below is Sc2PdRh after structural relaxation, with properties calculated at the PBE level.

As for the space-group type: P4/mmm (123).

Cell lengths 3.2502, 3.2502, 6.6217 Å; angles 90.00, 90.00, 90.00 degrees
Closest atoms and distances in Å follow each position.
Sites, in units of the cell vectors:
Sc1 0.0000 0.0000 0.7579  4 Rh 2.80, 4 Pd 2.86
Sc2 0.0000 0.0000 0.2421  4 Rh 2.80, 4 Pd 2.86
Rh1 0.5000 0.5000 0.0000  8 Sc 2.80
Pd1 0.5000 0.5000 0.5000  8 Sc 2.86

Record 3
Below is Sc2Pd2Rh after structural relaxation, with properties calculated at the PBE level.

As for the space-group type: P4/mbm (127).

Cell lengths 7.2547, 7.2547, 3.3642 Å; angles 90.00, 90.00, 90.00 degrees
Closest atoms and distances in Å follow each position.
Sites, in units of the cell vectors:
Sc1 0.1771 0.6771 0.5000  6 Pd 2.60-2.81
Sc2 0.6771 0.8229 0.5000  6 Pd 2.60-2.81
Sc3 0.8229 0.3229 0.5000  6 Pd 2.60-2.81
Sc4 0.3229 0.1771 0.5000  6 Pd 2.60-2.81
Rh1 0.0000 0.0000 0.0000  4 Pd 2.85, 8 Sc 3.16
Rh2 0.5000 0.5000 0.0000  4 Pd 2.85, 8 Sc 3.16
Pd1 0.3706 0.8706 0.0000  6 Sc 2.60-2.81, 1 Pd 2.66, 2 Rh 2.85
Pd2 0.8706 0.6294 0.0000  6 Sc 2.60-2.81, 1 Pd 2.66, 2 Rh 2.85
Pd3 0.6294 0.1294 0.0000  6 Sc 2.60-2.81, 1 Pd 2.66, 2 Rh 2.85
Pd4 0.1294 0.3706 0.0000  6 Sc 2.60-2.81, 1 Pd 2.66, 2 Rh 2.85

Record 4
Below is Sc4PdRh7 after structural relaxation, with properties calculated at the PBE level.

As for the space-group type: P-1 (2).

Cell lengths 5.4561, 7.6450, 5.1165 Å; angles 78.70, 91.87, 68.45 degrees
Closest atoms and distances in Å follow each position.
Sites, in units of the cell vectors:
Sc1 0.6111 0.3028 0.7160  1 Pd 2.62, 7 Rh 2.72-2.78
Sc2 0.3889 0.6972 0.2840  1 Pd 2.62, 7 Rh 2.72-2.78
Sc3 0.7337 0.6808 0.8017  8 Rh 2.66-2.89
Sc4 0.2663 0.3192 0.1983  8 Rh 2.66-2.89
Pd1 0.0000 0.0000 0.0000  2 Sc 2.62, 4 Rh 2.73-2.81
Rh1 0.7590 0.9955 0.4761  5 Rh 2.66-2.82, 3 Sc 2.70-2.98, 2 Pd 2.81-2.96
Rh2 0.2410 0.0045 0.5239  5 Rh 2.66-2.82, 3 Sc 2.70-2.98, 2 Pd 2.81-2.96
Rh3 0.9026 0.6647 0.3021  5 Sc 2.66-2.82, 4 Rh 2.70-2.91, 1 Pd 2.96
Rh4 0.0974 0.3353 0.6979  5 Sc 2.66-2.82, 4 Rh 2.70-2.91, 1 Pd 2.96
Rh5 0.2438 0.6486 0.7933  6 Sc 2.71-2.89, 2 Rh 2.79-2.91, 1 Pd 2.95
Rh6 0.5000 0.0000 0.0000  4 Sc 2.72-2.76, 2 Pd 2.73, 4 Rh 2.76-2.81
Rh7 0.7562 0.3514 0.2067  6 Sc 2.71-2.89, 2 Rh 2.79-2.91, 1 Pd 2.95

Record 5
Below is ScPdRh3 after structural relaxation, with properties calculated at the PBE level.

As for the space-group type: Pm-3m (221).

Cell lengths 4.5923, 4.5923, 4.5923 Å; angles 90.00, 90.00, 90.00 degrees
Closest atoms and distances in Å follow each position.
Sites, in units of the cell vectors:
Sc1 0.0000 0.0000 0.0000  6 Rh 2.30
Rh1 0.0000 0.5000 0.0000  2 Sc 2.30
Rh2 0.0000 0.0000 0.5000  2 Sc 2.30
Rh3 0.5000 0.0000 0.0000  2 Sc 2.30
Pd1 0.5000 0.5000 0.5000  12 Rh 3.25

Record 6
Below is Sc2PdRh after structural relaxation, with properties calculated at the PBE level.

As for the space-group type: R-3m (166).

Cell lengths 9.3279, 9.3279, 9.3279 Å; angles 18.92, 18.92, 18.92 degrees
Closest atoms and distances in Å follow each position.
Sites, in units of the cell vectors:
Sc1 0.9127 0.9127 0.9127  1 Rh 2.40
Sc2 0.0873 0.0873 0.0873  1 Rh 2.40
Rh1 0.0000 0.0000 0.0000  2 Sc 2.40
Pd1 0.5000 0.5000 0.5000  6 Sc 2.81, 6 Pd 3.07

Record 7
Below is Sc2PdRh after structural relaxation, with properties calculated at the PBE level.

As for the space-group type: I-42d (122).

Cell lengths 7.0718, 7.0718, 5.8298 Å; angles 52.66, 52.66, 90.00 degrees
Closest atoms and distances in Å follow each position.
Sites, in units of the cell vectors:
Sc1 0.6145 0.1250 0.2500  2 Rh 2.56, 2 Pd 2.66
Sc2 0.1355 0.6250 0.2500  2 Rh 2.56, 2 Pd 2.66
Sc3 0.3750 0.3855 0.7500  2 Rh 2.56, 2 Pd 2.66
Sc4 0.8750 0.8645 0.7500  2 Rh 2.56, 2 Pd 2.66
Rh1 0.5000 0.5000 0.0000  4 Sc 2.56
Rh2 0.2500 0.7500 0.5000  4 Sc 2.56
Pd1 0.0000 0.0000 0.0000  4 Sc 2.66
Pd2 0.7500 0.2500 0.5000  4 Sc 2.66

Record 8
Below is ScPdRh3 after structural relaxation, with properties calculated at the PBE level.

As for the space-group type: Pm-3m (221).

Cell lengths 4.7203, 4.7203, 4.7203 Å; angles 90.00, 90.00, 90.00 degrees
Closest atoms and distances in Å follow each position.
Sites, in units of the cell vectors:
Sc1 0.5000 0.5000 0.5000  12 Rh 3.34
Rh1 0.0000 0.5000 0.0000  2 Pd 2.36
Rh2 0.0000 0.0000 0.5000  2 Pd 2.36
Rh3 0.5000 0.0000 0.0000  2 Pd 2.36
Pd1 0.0000 0.0000 0.0000  6 Rh 2.36

Record 9
Below is Sc3PdRh after structural relaxation, with properties calculated at the PBE level.

As for the space-group type: Pm-3m (221).

Cell lengths 4.9213, 4.9213, 4.9213 Å; angles 90.00, 90.00, 90.00 degrees
Closest atoms and distances in Å follow each position.
Sites, in units of the cell vectors:
Sc1 0.0000 0.5000 0.0000  2 Rh 2.46
Sc2 0.0000 0.0000 0.5000  2 Rh 2.46
Sc3 0.5000 0.0000 0.0000  2 Rh 2.46
Rh1 0.0000 0.0000 0.0000  6 Sc 2.46
Pd1 0.5000 0.5000 0.5000  12 Sc 3.48

Record 10
Below is Sc4Pd5Rh after structural relaxation, with properties calculated at the PBE level.

As for the space-group type: C2/m (12).

Cell lengths 4.3618, 5.6650, 7.8078 Å; angles 112.06, 106.22, 90.00 degrees
Closest atoms and distances in Å follow each position.
Sites, in units of the cell vectors:
Sc1 0.6923 0.2737 0.3847  7 Pd 2.68-2.88, 1 Rh 2.69
Sc2 0.0830 0.8377 0.1659  8 Pd 2.70-3.02, 2 Rh 2.84
Sc3 0.3077 0.7263 0.6153  7 Pd 2.68-2.88, 1 Rh 2.69
Sc4 0.9170 0.1623 0.8341  8 Pd 2.70-3.02, 2 Rh 2.84
Pd1 0.2931 0.2043 0.5861  7 Sc 2.77-3.02, 3 Pd 2.89-3.07
Pd2 0.1125 0.3844 0.2251  6 Sc 2.68-2.95, 2 Pd 2.98
Pd3 0.8875 0.6156 0.7749  6 Sc 2.68-2.95, 2 Pd 2.98
Pd4 0.5000 0.5000 0.0000  2 Rh 2.83, 4 Sc 2.85, 6 Pd 2.89-2.98
Pd5 0.7069 0.7957 0.4139  7 Sc 2.77-3.02, 3 Pd 2.89-3.07
Rh1 0.5000 0.0000 0.0000  6 Sc 2.69-2.84, 2 Pd 2.83

Record 11
Below is Sc4PdRh3 after structural relaxation, with properties calculated at the PBE level.

As for the space-group type: R-3m (166).

Cell lengths 4.5983, 4.5983, 7.9496 Å; angles 73.19, 73.19, 60.00 degrees
Closest atoms and distances in Å follow each position.
Sites, in units of the cell vectors:
Sc1 0.8737 0.8737 0.3790  7 Rh 2.78-2.83, 1 Pd 2.84
Sc2 0.3765 0.3765 0.8706  5 Rh 2.78-2.84, 3 Pd 2.83
Sc3 0.1263 0.1263 0.6210  7 Rh 2.78-2.83, 1 Pd 2.84
Sc4 0.6235 0.6235 0.1294  5 Rh 2.78-2.84, 3 Pd 2.83
Rh1 0.2501 0.2501 0.2496  8 Sc 2.78-2.84
Rh2 0.7499 0.7499 0.7504  8 Sc 2.78-2.84
Rh3 0.5000 0.5000 0.5000  8 Sc 2.78-2.81
Pd1 0.0000 0.0000 0.0000  8 Sc 2.83-2.84

Record 12
Below is Sc5Pd4Rh after structural relaxation, with properties calculated at the PBE level.

As for the space-group type: P4/mmm (123).

Cell lengths 3.2452, 3.2452, 16.9691 Å; angles 90.00, 90.00, 90.00 degrees
Closest atoms and distances in Å follow each position.
Sites, in units of the cell vectors:
Sc1 0.5000 0.5000 0.0950  4 Rh 2.80, 4 Pd 2.88
Sc2 0.5000 0.5000 0.2976  8 Pd 2.85-2.87
Sc3 0.5000 0.5000 0.5000  8 Pd 2.87
Sc4 0.5000 0.5000 0.7024  8 Pd 2.85-2.87
Sc5 0.5000 0.5000 0.9050  4 Rh 2.80, 4 Pd 2.88
Pd1 0.0000 0.0000 0.1975  8 Sc 2.85-2.88
Pd2 0.0000 0.0000 0.3989  8 Sc 2.87
Pd3 0.0000 0.0000 0.6011  8 Sc 2.87
Pd4 0.0000 0.0000 0.8025  8 Sc 2.85-2.88
Rh1 0.0000 0.0000 0.0000  8 Sc 2.80

Record 13
Below is Sc2Si2PdRh5 after structural relaxation, with properties calculated at the PBE level.

As for the space-group type: P4/mbm (127).

Cell lengths 3.4724, 9.4353, 9.4353 Å; angles 90.00, 90.00, 90.00 degrees
Closest atoms and distances in Å follow each position.
Sites, in units of the cell vectors:
Sc1 0.0000 0.6732 0.1732  3 Si 2.66-2.87, 2 Rh 2.89
Sc2 0.0000 0.3268 0.8268  3 Si 2.66-2.87, 2 Rh 2.89
Sc3 0.0000 0.1732 0.3268  3 Si 2.66-2.87, 2 Rh 2.89
Sc4 0.0000 0.8268 0.6732  3 Si 2.66-2.87, 2 Rh 2.89
Si1 0.0000 0.1278 0.6278  6 Rh 2.37-2.43
Si2 0.0000 0.8722 0.3722  6 Rh 2.37-2.43
Si3 0.0000 0.6278 0.8722  6 Rh 2.37-2.43
Si4 0.0000 0.3722 0.1278  6 Rh 2.37-2.43
Pd1 0.0000 0.0000 0.0000  8 Rh 2.72
Pd2 0.0000 0.5000 0.5000  8 Rh 2.72
Rh1 0.5000 0.2109 0.0707  2 Si 2.37
Rh2 0.5000 0.7891 0.9293  2 Si 2.37
Rh3 0.5000 0.0707 0.7891  2 Si 2.37
Rh4 0.5000 0.7109 0.4293  2 Si 2.37
Rh5 0.5000 0.9293 0.2109  2 Si 2.37
Rh6 0.5000 0.2891 0.5707  2 Si 2.37
Rh7 0.5000 0.5707 0.7109  2 Si 2.37
Rh8 0.5000 0.4293 0.2891  2 Si 2.37
Rh9 0.5000 0.5000 0.0000  4 Si 2.43
Rh10 0.5000 0.0000 0.5000  4 Si 2.43

Record 14
Below is ScSiPdRh after structural relaxation, with properties calculated at the PBE level.

As for the space-group type: F-43m (216).

Cell lengths 4.4120, 4.4120, 4.4120 Å; angles 60.00, 60.00, 60.00 degrees
Closest atoms and distances in Å follow each position.
Sites, in units of the cell vectors:
Sc1 0.2500 0.2500 0.2500  4 Rh 2.70, 4 Pd 2.70
Si1 0.7500 0.7500 0.7500  4 Rh 2.70, 4 Pd 2.70
Rh1 0.0000 0.0000 0.0000  4 Sc 2.70, 4 Si 2.70
Pd1 0.5000 0.5000 0.5000  4 Sc 2.70, 4 Si 2.70

Record 15
Below is Sc5Sn2PdRh2 after structural relaxation, with properties calculated at the PBE level.

As for the space-group type: P4/mbm (127).

Cell lengths 3.3742, 11.0159, 11.0159 Å; angles 90.00, 90.00, 90.00 degrees
Closest atoms and distances in Å follow each position.
Sites, in units of the cell vectors:
Sc1 0.5000 0.1963 0.0705  2 Rh 2.61, 2 Pd 2.85
Sc2 0.5000 0.8037 0.9295  2 Rh 2.61, 2 Pd 2.85
Sc3 0.5000 0.0705 0.8037  2 Rh 2.61, 2 Pd 2.85
Sc4 0.5000 0.6963 0.4295  2 Rh 2.61, 2 Pd 2.85
Sc5 0.5000 0.9295 0.1963  2 Rh 2.61, 2 Pd 2.85
Sc6 0.5000 0.3037 0.5705  2 Rh 2.61, 2 Pd 2.85
Sc7 0.5000 0.5705 0.6963  2 Rh 2.61, 2 Pd 2.85
Sc8 0.5000 0.4295 0.3037  2 Rh 2.61, 2 Pd 2.85
Sc9 0.5000 0.5000 0.0000  4 Rh 2.69
Sc10 0.5000 0.0000 0.5000  4 Rh 2.69
Sn1 0.0000 0.6723 0.1723  1 Rh 3.00, 6 Sc 3.17-3.31
Sn2 0.0000 0.3277 0.8277  1 Rh 3.00, 6 Sc 3.17-3.31
Sn3 0.0000 0.1723 0.3277  1 Rh 3.00, 6 Sc 3.17-3.31
Sn4 0.0000 0.8277 0.6723  1 Rh 3.00, 6 Sc 3.17-3.31
Pd1 0.0000 0.0000 0.0000  8 Sc 2.85
Pd2 0.0000 0.5000 0.5000  8 Sc 2.85
Rh1 0.0000 0.1348 0.6348  6 Sc 2.61-2.69
Rh2 0.0000 0.8652 0.3652  6 Sc 2.61-2.69
Rh3 0.0000 0.6348 0.8652  6 Sc 2.61-2.69
Rh4 0.0000 0.3652 0.1348  6 Sc 2.61-2.69

Record 16
Below is Sc4SnPd2Rh after structural relaxation, with properties calculated at the PBE level.

As for the space-group type: R-3m (166).

Cell lengths 4.7487, 4.7487, 8.2245 Å; angles 73.22, 73.22, 60.00 degrees
Closest atoms and distances in Å follow each position.
Sites, in units of the cell vectors:
Sc1 0.3842 0.3842 0.8474  1 Rh 2.69, 4 Pd 2.81-2.99, 3 Sn 2.99
Sc2 0.8684 0.8684 0.3949  3 Rh 2.86, 4 Pd 2.89-3.02, 1 Sn 3.06, 3 Sc 3.19
Sc3 0.1316 0.1316 0.6051  3 Rh 2.86, 4 Pd 2.89-3.02, 1 Sn 3.06, 3 Sc 3.19
Sc4 0.6158 0.6158 0.1526  1 Rh 2.69, 4 Pd 2.81-2.99, 3 Sn 2.99
Sn1 0.0000 0.0000 0.0000  8 Sc 2.99-3.06, 6 Pd 3.28
Pd1 0.7441 0.7441 0.7676  8 Sc 2.81-3.02
Pd2 0.2559 0.2559 0.2324  8 Sc 2.81-3.02
Rh1 0.5000 0.5000 0.5000  8 Sc 2.69-2.86

Record 17
Below is TbScPdRh after structural relaxation, with properties calculated at the PBE level.

As for the space-group type: F-43m (216).

Cell lengths 4.7817, 4.7817, 4.7817 Å; angles 60.00, 60.00, 60.00 degrees
Closest atoms and distances in Å follow each position.
Sites, in units of the cell vectors:
Sc1 0.0000 0.0000 0.0000  4 Rh 2.93, 4 Pd 2.93
Rh1 0.2500 0.2500 0.2500  4 Tb 2.93, 4 Sc 2.93
Tb1 0.5000 0.5000 0.5000  4 Pd 2.93, 4 Rh 2.93
Pd1 0.7500 0.7500 0.7500  4 Tb 2.93, 4 Sc 2.93

Record 18
Below is Th2ScPdRh5 after structural relaxation, with properties calculated at the PBE level.

As for the space-group type: I4/mcm (140).

Cell lengths 8.4020, 8.4020, 7.9125 Å; angles 122.07, 122.07, 90.00 degrees
Closest atoms and distances in Å follow each position.
Sites, in units of the cell vectors:
Th1 0.1395 0.3605 0.0000  2 Rh 2.48
Th2 0.6395 0.1395 0.0000  2 Rh 2.48
Th3 0.3605 0.8605 0.0000  2 Rh 2.48
Th4 0.8605 0.6395 0.0000  2 Rh 2.48
Sc1 0.2500 0.2500 0.5000  2 Rh 2.61
Sc2 0.7500 0.7500 0.5000  2 Rh 2.61
Pd1 0.2500 0.7500 0.5000  4 Rh 2.55
Pd2 0.7500 0.2500 0.5000  4 Rh 2.55
Rh1 0.9477 0.4477 0.2755  1 Th 2.48, 1 Pd 2.55, 1 Rh 2.74
Rh2 0.6721 0.1721 0.7245  1 Th 2.48, 1 Pd 2.55, 1 Rh 2.74
Rh3 0.0523 0.5523 0.7245  1 Th 2.48, 1 Pd 2.55, 1 Rh 2.74
Rh4 0.1721 0.0523 0.7245  1 Th 2.48, 1 Pd 2.55, 1 Rh 2.74
Rh5 0.5523 0.6721 0.7245  1 Th 2.48, 1 Pd 2.55, 1 Rh 2.74
Rh6 0.8279 0.9477 0.2755  1 Th 2.48, 1 Pd 2.55, 1 Rh 2.74
Rh7 0.4477 0.3279 0.2755  1 Th 2.48, 1 Pd 2.55, 1 Rh 2.74
Rh8 0.3279 0.8279 0.2755  1 Th 2.48, 1 Pd 2.55, 1 Rh 2.74
Rh9 0.5000 0.5000 0.0000  2 Sc 2.61
Rh10 0.0000 0.0000 0.0000  2 Sc 2.61

Record 19
Below is ScTi2PdRh after structural relaxation, with properties calculated at the PBE level.

As for the space-group type: P4/mmm (123).

Cell lengths 4.6508, 4.9730, 4.6508 Å; angles 90.00, 90.00, 90.00 degrees
Closest atoms and distances in Å follow each position.
Sites, in units of the cell vectors:
Sc1 0.0000 0.5000 0.0000  2 Rh 2.49
Rh1 0.0000 0.0000 0.0000  4 Ti 2.33, 2 Sc 2.49
Pd1 0.5000 0.5000 0.5000  4 Sc 3.29, 8 Ti 3.40
Ti1 0.0000 0.0000 0.5000  2 Rh 2.33
Ti2 0.5000 0.0000 0.0000  2 Rh 2.33

Record 20
Below is Sc4ZnPd2Rh after structural relaxation, with properties calculated at the PBE level.

As for the space-group type: R-3m (166).

Cell lengths 4.6625, 4.6625, 8.1084 Å; angles 73.29, 73.29, 60.00 degrees
Closest atoms and distances in Å follow each position.
Sites, in units of the cell vectors:
Sc1 0.3783 0.3783 0.8650  1 Rh 2.79, 4 Pd 2.83-2.92, 3 Zn 2.88
Sc2 0.8723 0.8723 0.3831  4 Pd 2.83-2.89, 3 Rh 2.84, 1 Zn 2.93
Sc3 0.1277 0.1277 0.6169  4 Pd 2.83-2.89, 3 Rh 2.84, 1 Zn 2.93
Sc4 0.6217 0.6217 0.1350  1 Rh 2.79, 4 Pd 2.83-2.92, 3 Zn 2.88
Zn1 0.0000 0.0000 0.0000  8 Sc 2.88-2.93
Pd1 0.7491 0.7491 0.7526  8 Sc 2.83-2.92
Pd2 0.2509 0.2509 0.2474  8 Sc 2.83-2.92
Rh1 0.5000 0.5000 0.5000  8 Sc 2.79-2.84

In order of appearance, calculated total energy = -6.937 -7.266 -6.782 -7.449 -5.792 -6.547 -6.870 -5.766 -6.533 -6.753 -7.556 -6.900 -7.372 -6.906 -6.683 -6.736 -6.747 -7.339 -6.771 -6.338 eV per atom.
In order of appearance, Fermi-level density of states = 7.94 2.09 8.69 8.82 10.63 4.11 3.42 8.64 4.08 4.23 4.92 6.38 13.94 2.40 11.36 4.06 1.83 13.95 6.63 3.93 states/eV per cell.
In order of appearance, size of the total moment = 0.000 0.000 0.000 0.000 2.062 0.000 0.000 2.022 0.000 0.000 0.000 0.000 0.000 0.000 0.000 0.000 0.000 0.000 1.355 0.000 μB/f.u..